! GGA-PBE Sc2Mn2Ge2N, optimized geometry; values from VASP
! **Formation energy without anion corrections**: -0.6908 eV per atom
! **Symmetry**: I4/mmm, No. 139
! **Crystal system**: tetragonal
! **Raw total energy**: -53.4 eV/cell
&SYSTEM
  ibrav = 0, nat = 7, ntyp = 4
/
ATOMIC_SPECIES
Sc 44.96 Sc.upf
Mn 54.94 Mn.upf
Ge 72.64 Ge.upf
N 14.01 N.upf
ATOMIC_POSITIONS angstrom
Sc 0.000 0.000 2.202
Sc 1.970 1.970 4.659
Mn 1.970 0.000 0.000
Mn 0.000 1.970 0.000
Ge 1.970 1.970 1.803
Ge 0.000 0.000 5.058
N 0.000 0.000 0.000
CELL_PARAMETERS angstrom
3.940 0.000 0.000
0.000 3.940 0.000
-1.970 -1.970 6.861